{"formula": "CaNpSc2O6", "functional": "PBE", "state": "relaxed", "dos_at_fermi_per_ev_fu": 12.15, "m_tot_mub_per_fu": 3.00, "e_form_raw_ev_per_atom": -3.22, "energy_ev_per_atom": -8.960, "lattice_angstrom": [[2.819, 1.628, 4.875], [-2.819, 1.628, 4.875], [0.000, -3.256, 4.875]], "species": ["Ca", "Np", "Sc", "Sc", "O", "O", "O", "O", "O", "O"], "frac_coords": [[0.000, 0.000, 0.000], [0.510, 0.510, 0.510], [0.219, 0.219, 0.219], [0.725, 0.725, 0.725], [0.089, 0.439, 0.839], [0.360, 0.924, 0.568], [0.439, 0.839, 0.089], [0.568, 0.360, 0.924], [0.839, 0.089, 0.439], [0.924, 0.568, 0.360]]}